Record 1
A relaxed structure of BeAg2C2, computed with PBE.

abc: 6.435 6.435 3.016
angles: 90.00 90.00 90.00
Sites, in units of the cell vectors:
Be 0.000 0.000 0.000
Be 0.500 0.500 0.000
Ag 0.153 0.347 0.000
Ag 0.347 0.847 0.000
Ag 0.653 0.153 0.000
Ag 0.847 0.653 0.000
C 0.160 0.660 0.500
C 0.340 0.160 0.500
C 0.660 0.840 0.500
C 0.840 0.340 0.500

mass density: 6615 kg/m3
space group: P4/mbm, No. 127
ΔH_f (0 K): 2054 meV per atom
density of states at the Fermi level: 0.508 states/eV per atom
distance to the lowest polymorph of the same formula: 584 meV/atom


Record 2
A relaxed structure of Hf12TaIn3, computed with PBE.

abc: 4.424 4.424 17.738
angles: 90.00 90.00 90.00
Sites, in units of the cell vectors:
Hf 0.000 0.000 0.000
Hf 0.000 0.000 0.248
Hf 0.000 0.000 0.500
Hf 0.000 0.000 0.752
Hf 0.000 0.500 0.124
Hf 0.000 0.500 0.378
Hf 0.000 0.500 0.622
Hf 0.000 0.500 0.876
Hf 0.500 0.000 0.124
Hf 0.500 0.000 0.378
Hf 0.500 0.000 0.622
Hf 0.500 0.000 0.876
Ta 0.500 0.500 0.500
In 0.500 0.500 0.000
In 0.500 0.500 0.251
In 0.500 0.500 0.749

mass density: 12760 kg/m3
space group: P4/mmm, No. 123
ΔH_f (0 K): -72 meV per atom
density of states at the Fermi level: 0.999 states/eV per atom


Record 3
A relaxed structure of NaTl6In, computed with PBE.

abc: 6.863 6.863 6.863
angles: 110.01 110.01 110.01
Sites, in units of the cell vectors:
Na 0.000 0.000 0.000
Tl 0.251 0.251 0.745
Tl 0.251 0.745 0.251
Tl 0.255 0.749 0.749
Tl 0.745 0.251 0.251
Tl 0.749 0.255 0.749
Tl 0.749 0.749 0.255
In 0.500 0.500 0.500

mass density: 9294 kg/m3
space group: R-3m, No. 166
ΔH_f (0 K): 1 meV per atom
density of states at the Fermi level: 0.538 states/eV per atom
distance to the lowest polymorph of the same formula: 28 meV/atom


Record 4
A relaxed structure of Fe3ReRh12, computed with PBE.

abc: 3.824 3.824 15.263
angles: 90.00 90.00 90.00
Sites, in units of the cell vectors:
Fe 0.000 0.000 0.000
Fe 0.000 0.000 0.246
Fe 0.000 0.000 0.754
Re 0.000 0.000 0.500
Rh 0.000 0.500 0.125
Rh 0.000 0.500 0.376
Rh 0.000 0.500 0.624
Rh 0.000 0.500 0.875
Rh 0.500 0.000 0.125
Rh 0.500 0.000 0.376
Rh 0.500 0.000 0.624
Rh 0.500 0.000 0.875
Rh 0.500 0.500 0.000
Rh 0.500 0.500 0.250
Rh 0.500 0.500 0.500
Rh 0.500 0.500 0.750

mass density: 11821 kg/m3
space group: P4/mmm, No. 123
ΔH_f (0 K): -66 meV per atom
density of states at the Fermi level: 0.982 states/eV per atom


Record 5
A relaxed structure of ReGe2Mo2, computed with PBE.

abc: 6.823 6.823 3.286
angles: 90.00 90.00 90.00
Sites, in units of the cell vectors:
Re 0.000 0.000 0.000
Re 0.500 0.500 0.000
Ge 0.143 0.357 0.000
Ge 0.357 0.857 0.000
Ge 0.643 0.143 0.000
Ge 0.857 0.643 0.000
Mo 0.155 0.655 0.500
Mo 0.345 0.155 0.500
Mo 0.655 0.845 0.500
Mo 0.845 0.345 0.500

mass density: 11364 kg/m3
space group: P4/mbm, No. 127
ΔH_f (0 K): 207 meV per atom
density of states at the Fermi level: 0.600 states/eV per atom


Record 6
A relaxed structure of AgGe2Br8, computed with PBE.

abc: 8.289 8.289 6.747
angles: 98.25 98.25 77.99
Sites, in units of the cell vectors:
Ag 0.000 0.000 0.000
Ge 0.206 0.206 0.690
Ge 0.794 0.794 0.310
Br 0.071 0.710 0.211
Br 0.193 0.193 0.331
Br 0.290 0.929 0.789
Br 0.385 0.385 0.863
Br 0.615 0.615 0.137
Br 0.710 0.071 0.211
Br 0.807 0.807 0.669
Br 0.929 0.290 0.789

mass density: 3325 kg/m3
space group: C2/m, No. 12
density of states at the Fermi level: 0.553 states/eV per atom
formation energy without anion corrections: -0.456 eV per atom


Record 7
A relaxed structure of Y2Mn2Tl, computed with PBE.

abc: 7.018 7.018 4.332
angles: 90.00 90.00 90.00
Sites, in units of the cell vectors:
Y 0.182 0.318 0.000
Y 0.318 0.818 0.000
Y 0.682 0.182 0.000
Y 0.818 0.682 0.000
Mn 0.102 0.602 0.500
Mn 0.398 0.102 0.500
Mn 0.602 0.898 0.500
Mn 0.898 0.398 0.500
Tl 0.000 0.000 0.500
Tl 0.500 0.500 0.500

mass density: 7660 kg/m3
space group: P4/mbm, No. 127
ΔH_f (0 K): 55 meV per atom
density of states at the Fermi level: 0.865 states/eV per atom


Record 8
A relaxed structure of Ac2ZnGeO6, computed with PBE.

abc: 5.663 5.663 3.983
angles: 90.00 90.00 90.00
Sites, in units of the cell vectors:
Ac 0.000 0.500 0.000
Ac 0.500 0.000 0.000
Zn 0.000 0.000 0.500
Ge 0.500 0.500 0.500
O 0.000 0.000 0.000
O 0.266 0.266 0.500
O 0.266 0.734 0.500
O 0.500 0.500 0.000
O 0.734 0.266 0.500
O 0.734 0.734 0.500

mass density: 8944 kg/m3
space group: P4/mmm, No. 123
density of states at the Fermi level: 0.000 states/eV per atom
formation energy without anion corrections: -2.492 eV per atom


Record 9
A relaxed structure of TmPaP2, computed with PBE.

abc: 6.832 6.832 6.832
angles: 33.65 33.65 33.65
Sites, in units of the cell vectors:
Tm 0.000 0.000 0.000
Pa 0.500 0.500 0.500
P 0.250 0.250 0.250
P 0.750 0.750 0.750

mass density: 8793 kg/m3
space group: R-3m, No. 166
ΔH_f (0 K): -1446 meV per atom
density of states at the Fermi level: 0.835 states/eV per atom
distance to the lowest polymorph of the same formula: 0 meV/atom


Record 10
A relaxed structure of Rb2Cu2Cl5, computed with PBE.

abc: 12.036 12.036 12.036
angles: 46.60 147.57 147.46
Sites, in units of the cell vectors:
Rb 0.001 0.113 0.114
Rb 0.001 0.387 0.387
Rb 0.999 0.613 0.613
Rb 0.999 0.887 0.886
Cu 0.387 0.715 0.172
Cu 0.499 0.499 0.000
Cu 0.499 0.999 0.500
Cu 0.543 0.215 0.828
Cl 0.011 0.368 0.143
Cl 0.225 0.868 0.857
Cl 0.499 0.248 0.250
Cl 0.499 0.749 0.750
Cl 0.500 0.165 0.639
Cl 0.500 0.361 0.835
Cl 0.525 0.665 0.165
Cl 0.525 0.861 0.361
Cl 0.999 0.249 0.750
Cl 0.999 0.748 0.250

mass density: 3150 kg/m3
space group: Ima2, No. 46
density of states at the Fermi level: 0.340 states/eV per atom
distance to the lowest polymorph of the same formula: 0 meV/atom
formation energy without anion corrections: -1.163 eV per atom


Record 11
A relaxed structure of PuTlAs2, computed with PBE.

abc: 3.904 3.904 6.533
angles: 90.00 90.00 90.00
Sites, in units of the cell vectors:
Pu 0.000 0.000 0.000
Tl 0.000 0.000 0.500
As 0.500 0.500 0.193
As 0.500 0.500 0.807

mass density: 9979 kg/m3
space group: P4/mmm, No. 123
ΔH_f (0 K): -445 meV per atom
density of states at the Fermi level: 2.693 states/eV per atom
distance to the lowest polymorph of the same formula: 0 meV/atom


Record 12
A relaxed structure of CaHf2Sc, computed with PBE.

abc: 11.512 11.512 11.512
angles: 158.28 158.28 30.90
Sites, in units of the cell vectors:
Ca 0.000 0.000 0.000
Ca 0.750 0.250 0.500
Hf 0.135 0.125 0.510
Hf 0.375 0.865 0.990
Hf 0.615 0.625 0.490
Hf 0.875 0.385 0.010
Sc 0.250 0.750 0.500
Sc 0.500 0.500 0.000

mass density: 7034 kg/m3
space group: I-42d, No. 122
ΔH_f (0 K): 731 meV per atom
density of states at the Fermi level: 1.652 states/eV per atom
distance to the lowest polymorph of the same formula: 195 meV/atom


Record 13
A relaxed structure of NiSnSe2Br, computed with PBE.

abc: 4.788 4.788 4.969
angles: 90.00 90.00 90.00
Sites, in units of the cell vectors:
Ni 0.000 0.000 0.000
Sn 0.500 0.500 0.500
Se 0.000 0.500 0.000
Se 0.500 0.000 0.000
Br 0.000 0.000 0.500

mass density: 6054 kg/m3
space group: P4/mmm, No. 123
density of states at the Fermi level: 0.714 states/eV per atom
distance to the lowest polymorph of the same formula: 0 meV/atom
formation energy without anion corrections: -0.033 eV per atom


Record 14
A relaxed structure of AgC2, computed with PBE.

abc: 5.928 5.928 2.526
angles: 90.00 90.00 109.01
Sites, in units of the cell vectors:
Ag 0.184 0.816 0.000
Ag 0.816 0.184 0.000
C 0.000 0.000 0.500
C 0.407 0.593 0.500
C 0.500 0.500 0.000
C 0.593 0.407 0.500

mass density: 5220 kg/m3
space group: Cmmm, No. 65
ΔH_f (0 K): 2231 meV per atom
density of states at the Fermi level: 0.495 states/eV per atom
distance to the lowest polymorph of the same formula: 1898 meV/atom


Record 15
A relaxed structure of RbPS4, computed with PBE.

abc: 10.899 6.621 6.621
angles: 122.89 90.00 90.00
Sites, in units of the cell vectors:
Rb 0.000 0.000 0.000
Rb 0.500 0.000 0.000
P 0.250 0.579 0.277
P 0.750 0.277 0.579
S 0.111 0.526 0.051
S 0.250 0.366 0.409
S 0.250 0.893 0.603
S 0.389 0.526 0.051
S 0.611 0.051 0.526
S 0.750 0.409 0.366
S 0.750 0.603 0.893
S 0.889 0.051 0.526

mass density: 2025 kg/m3
space group: Ama2, No. 40
density of states at the Fermi level: 0.110 states/eV per atom
distance to the lowest polymorph of the same formula: 116 meV/atom
formation energy without anion corrections: -0.283 eV per atom


Record 16
A relaxed structure of Sc2TaIr, computed with PBE.

abc: 3.017 4.497 5.616
angles: 90.00 104.25 90.00
Sites, in units of the cell vectors:
Sc 0.078 0.000 0.261
Sc 0.922 0.000 0.739
Ta 0.500 0.500 0.000
Ir 0.500 0.500 0.500

mass density: 10412 kg/m3
space group: P2/m, No. 10
ΔH_f (0 K): -248 meV per atom
density of states at the Fermi level: 0.981 states/eV per atom
distance to the lowest polymorph of the same formula: 152 meV/atom


Record 17
A relaxed structure of FeRu2Se, computed with PBE.

abc: 3.051 3.051 6.083
angles: 90.00 90.00 90.00
Sites, in units of the cell vectors:
Fe 0.000 0.000 0.000
Ru 0.500 0.500 0.242
Ru 0.500 0.500 0.758
Se 0.000 0.000 0.500

mass density: 9879 kg/m3
space group: P4/mmm, No. 123
density of states at the Fermi level: 0.740 states/eV per atom
formation energy without anion corrections: 0.202 eV per atom


Record 18
A relaxed structure of CaTaI2N, computed with PBE.

abc: 6.005 6.005 4.277
angles: 90.00 90.00 90.00
Sites, in units of the cell vectors:
Ca 0.000 0.000 0.000
Ta 0.500 0.500 0.500
I 0.000 0.500 0.000
I 0.500 0.000 0.000
N 0.000 0.000 0.500

mass density: 5264 kg/m3
space group: P4/mmm, No. 123
density of states at the Fermi level: 0.968 states/eV per atom
distance to the lowest polymorph of the same formula: 1438 meV/atom
formation energy without anion corrections: 1.148 eV per atom


Record 19
A relaxed structure of AcTbPrSc, computed with PBE.

abc: 5.775 5.775 5.775
angles: 60.00 60.00 60.00
Sites, in units of the cell vectors:
Ac 0.000 0.000 0.000
Tb 0.750 0.750 0.750
Pr 0.500 0.500 0.500
Sc 0.250 0.250 0.250

mass density: 6972 kg/m3
space group: F-43m, No. 216
ΔH_f (0 K): 114 meV per atom
density of states at the Fermi level: 1.706 states/eV per atom


Record 20
A relaxed structure of TiSbMo2, computed with PBE.

abc: 10.278 10.278 10.278
angles: 158.28 158.28 30.91
Sites, in units of the cell vectors:
Ti 0.000 0.000 0.000
Ti 0.750 0.250 0.500
Sb 0.250 0.750 0.500
Sb 0.500 0.500 0.000
Mo 0.119 0.625 0.994
Mo 0.375 0.369 0.494
Mo 0.631 0.125 0.006
Mo 0.875 0.881 0.506

mass density: 8077 kg/m3
space group: I-42d, No. 122
density of states at the Fermi level: 1.561 states/eV per atom
formation energy without anion corrections: 0.436 eV per atom